Arrangement i

TbScAlTl: optimized geometry, GGA-PBE.

Cell lengths 3.310, 3.310, 8.573 Å; angles 90.00, 90.00, 90.00 degrees
Space group P4mm (No. 99)
Unique sites:
Tb  0.000  0.000  0.000 [1 per cell]
Sc  0.000  0.000  0.538 [1 per cell]
Al  0.500  0.500  0.756 [1 per cell]
Tl  0.500  0.500  0.282 [1 per cell]

Arrangement ii

TbScAlTl: optimized geometry, GGA-PBE.

Cell lengths 7.242, 7.242, 7.242 Å; angles 90.00, 90.00, 90.00 degrees
Space group F-43m (No. 216)
Unique sites:
Tb  0.000  0.000  0.000 [4 per cell]
Sc  0.000  0.000  0.500 [4 per cell]
Al  0.250  0.250  0.750 [4 per cell]
Tl  0.250  0.250  0.250 [4 per cell]

We find arrangement i to be the most stable, with the next structure 0.029 eV/atom higher.

Arrangement i

Sc6Al2Tc: optimized geometry, GGA-PBE.

Cell lengths 9.467, 4.624, 8.616 Å; angles 90.00, 99.48, 90.00 degrees
Space group C2/m (No. 12)
Unique sites:
Sc  0.042  0.000  0.322 [4 per cell]
Sc  0.136  0.500  0.914 [4 per cell]
Sc  0.226  0.500  0.273 [4 per cell]
Al  0.128  0.500  0.577 [4 per cell]
Tc  0.000  0.000  0.000 [2 per cell]

Arrangement ii

Sc6Al2Tc: optimized geometry, GGA-PBE.

Cell lengths 4.746, 6.657, 13.691 Å; angles 90.00, 90.00, 90.00 degrees
Space group Immm (No. 71)
Unique sites:
Sc  0.000  0.232  0.000 [4 per cell]
Sc  0.000  0.255  0.343 [8 per cell]
Al  0.000  0.500  0.167 [4 per cell]
Tc  0.000  0.500  0.500 [2 per cell]

We find arrangement i to be the most stable, with the next structure 0.174 eV/atom higher.

Arrangement i

Sc2AlTc: optimized geometry, GGA-PBE.

Cell lengths 4.317, 3.420, 10.480 Å; angles 90.00, 90.00, 90.00 degrees
Space group Amm2 (No. 38)
Unique sites:
Sc  0.000  0.000  0.000 [2 per cell]
Sc  0.500  0.000  0.305 [2 per cell]
Al  0.000  0.000  0.717 [2 per cell]
Tc  0.500  0.000  0.587 [2 per cell]

Arrangement ii

Sc2AlTc: optimized geometry, GGA-PBE.

Cell lengths 6.556, 6.556, 6.556 Å; angles 90.00, 90.00, 90.00 degrees
Space group F-43m (No. 216)
Unique sites:
Sc  0.000  0.000  0.000 [4 per cell]
Sc  0.250  0.250  0.250 [4 per cell]
Al  0.250  0.250  0.750 [4 per cell]
Tc  0.000  0.000  0.500 [4 per cell]

We find arrangement i to be the most stable, with the next structure 0.012 eV/atom higher.